Entry 1:
# CuBiAu

A geometry-optimized CuBiAu structure (PBE, the Alexandria database).

Structure (POSCAR):
```
CuBiAu
1.0
3.416 0.000 0.000
0.000 3.416 0.000
-1.708 -1.708 5.267
Au Bi Cu
1 1 1
direct
0.699 0.699 0.398
0.994 0.994 0.987
0.307 0.307 0.615
```

Properties
As for the mass density: 12.68 g cm⁻³. The total DFT energy (no corrections) is -3.64 eV/atom. Its space group is I4mm (107).

Entry 2:
# CuBiAu2

A geometry-optimized CuBiAu2 structure (PBE, the Alexandria database).

Structure (POSCAR):
```
CuBiAu2
1.0
-2.607 -1.258 -2.908
3.059 -1.981 -1.886
-1.765 -9.730 2.896
Au Bi Cu
4 2 2
direct
0.607 0.125 0.250
0.143 0.625 0.250
0.375 0.393 0.750
0.875 0.857 0.750
0.000 0.000 0.000
0.750 0.250 0.500
0.500 0.500 0.000
0.250 0.750 0.500
```

Properties
As for the mass density: 13.30 g cm⁻³. The total DFT energy (no corrections) is -3.47 eV/atom. Its space group is I-42d (122).

Entry 3:
# CuBiAu2

A geometry-optimized CuBiAu2 structure (PBE, the Alexandria database).

Structure (POSCAR):
```
CuBiAu2
1.0
-3.834 -1.008 1.936
0.372 -3.991 -1.340
2.057 -1.002 3.553
Au Bi Cu
2 1 1
direct
0.000 0.000 0.500
0.000 0.500 0.000
0.500 0.500 0.500
0.500 0.000 0.000
```

Properties
As for the mass density: 14.04 g cm⁻³. The total DFT energy (no corrections) is -3.51 eV/atom. Its space group is P4/mmm (123).

Entry 4:
# Cu2BiAu2

A geometry-optimized Cu2BiAu2 structure (PBE, the Alexandria database).

Structure (POSCAR):
```
Cu2BiAu2
1.0
-2.183 7.055 2.284
-2.661 -2.967 6.624
2.724 0.427 1.285
Au Bi Cu
4 2 4
direct
0.368 0.868 0.000
0.868 0.632 0.000
0.632 0.132 0.000
0.132 0.368 0.000
0.000 0.000 0.000
0.500 0.500 0.000
0.163 0.663 0.500
0.663 0.837 0.500
0.837 0.337 0.500
0.337 0.163 0.500
```

Properties
As for the mass density: 13.34 g cm⁻³. The total DFT energy (no corrections) is -3.67 eV/atom. Its space group is P4/mbm (127).

Entry 5:
# Cu3BiAu

A geometry-optimized Cu3BiAu structure (PBE, the Alexandria database).

Structure (POSCAR):
```
Cu3BiAu
1.0
-0.289 0.873 -4.680
-4.752 -0.350 0.228
-0.302 4.676 0.891
Au Bi Cu
1 1 3
direct
0.000 0.000 0.000
0.500 0.500 0.500
0.000 0.500 0.000
0.000 0.000 0.500
0.500 0.000 0.000
```

Properties
As for the mass density: 9.13 g cm⁻³. The total DFT energy (no corrections) is -3.29 eV/atom. Its space group is Pm-3m (221).

Entry 6:
# CuBiAu

A geometry-optimized CuBiAu structure (PBE, the Alexandria database).

Structure (POSCAR):
```
CuBiAu
1.0
4.153 0.001 0.047
2.077 3.597 0.033
-0.101 -0.023 8.703
Cu Bi Au
2 2 2
direct
0.667 0.167 0.983
0.333 0.833 0.017
0.667 0.167 0.350
0.333 0.833 0.650
0.000 0.500 0.835
0.000 0.500 0.165
```

Properties
As for the mass density: 11.99 g cm⁻³. The total DFT energy (no corrections) is -3.72 eV/atom. Its space group is P-3m1 (164).